Entry 1:
{"formula": "HfTaSe4", "functional": "GGA-PBE", "state": "optimized geometry", "dos_at_fermi_per_ev_cell": 5.0, "e_tot_ev_per_atom": -7.00, "spacegroup": "C2/m (12)", "vol_a3_per_atom": 25.5, "cell": [[3.6181, 0.0000, 0.0000], [0.0000, 6.2880, -0.0169], [0.0000, 0.0948, 13.4503]], "species": ["Hf", "Hf", "Ta", "Ta", "Se", "Se", "Se", "Se", "Se", "Se", "Se", "Se"], "fractional_positions": [[0.5000, 0.5000, 0.5000], [0.0000, 0.0000, 0.0000], [0.0000, 0.0000, 0.5000], [0.5000, 0.5000, 0.0000], [0.5000, 0.1616, 0.3798], [0.0000, 0.3384, 0.1202], [0.5000, 0.8384, 0.6202], [0.0000, 0.6616, 0.8798], [0.0000, 0.6746, 0.3789], [0.5000, 0.8254, 0.1211], [0.0000, 0.3254, 0.6211], [0.5000, 0.1746, 0.8789]]}

Entry 2:
{"formula": "ZrTlTc", "functional": "GGA-PBE", "state": "optimized geometry", "formation_energy_kj_per_mol_fu": -1, "spacegroup": "I4mm (107)", "vol_a3_per_atom": 19.7, "cell": [[5.4004, -0.0037, 0.0000], [3.1192, 4.4085, 0.0000], [-4.2598, -2.2024, 2.4835]], "species": ["Tc", "Tl", "Zr"], "fractional_positions": [[0.0130, 0.0130, 0.0000], [0.3381, 0.3381, 0.0000], [0.6490, 0.6490, 0.0000]]}

Entry 3:
{"formula": "Ca4Th3TiN8", "functional": "GGA-PBE", "state": "optimized geometry", "e_tot_ev_per_atom": -7.86, "spacegroup": "R-3m (166)", "vol_a3_per_atom": 15.7, "cell": [[7.1000, 0.0000, 0.0000], [0.0000, 7.0597, -0.0322], [-3.5500, -3.5476, 5.0223]], "species": ["Ca", "Ca", "Ca", "Ca", "Th", "Th", "Th", "Ti", "N", "N", "N", "N", "N", "N", "N", "N"], "fractional_positions": [[0.5000, 0.0000, 0.0000], [0.5000, 0.0000, 0.5000], [0.0000, 0.0000, 0.0000], [0.0000, 0.0000, 0.5000], [0.5000, 0.5000, 0.0000], [0.5000, 0.5000, 0.5000], [0.0000, 0.5000, 0.5000], [0.0000, 0.5000, 0.0000], [0.2282, 0.7168, 0.9886], [0.2283, 0.7170, 0.4566], [0.2570, 0.2709, 0.5139], [0.7604, 0.7168, 0.9886], [0.2396, 0.2832, 0.0114], [0.7430, 0.7291, 0.4861], [0.7717, 0.2830, 0.5434], [0.7718, 0.2832, 0.0114]]}

Entry 4:
{"formula": "LiIn2SbH", "functional": "GGA-PBE", "state": "optimized geometry", "dos_at_fermi_per_ev_cell": 1.7, "e_tot_ev_per_atom": -2.98, "spacegroup": "P4/mmm (123)", "vol_a3_per_atom": 20.8, "cell": [[-2.0090, 4.3553, 0.1998], [-4.3222, -2.0184, 0.5373], [0.5373, 0.0423, 4.4803]], "species": ["Sb", "Li", "H", "In", "In"], "fractional_positions": [[0.5000, 0.5000, 0.5000], [0.0000, 0.0000, 0.5000], [0.0000, 0.0000, 0.0000], [0.0000, 0.5000, 0.0000], [0.5000, 0.0000, 0.0000]]}

Entry 5:
{"formula": "PmPr2Y3Se6", "functional": "GGA-PBE", "state": "optimized geometry", "dos_at_fermi_per_ev_cell": 5.4, "e_tot_ev_per_atom": -6.36, "spacegroup": "C2/m (12)", "vol_a3_per_atom": 25.5, "cell": [[-1.9101, 1.5706, -3.3033], [-6.8612, 1.4523, 4.6580], [5.8991, 6.8352, 2.4161]], "species": ["Pm", "Pr", "Pr", "Y", "Y", "Y", "Se", "Se", "Se", "Se", "Se", "Se"], "fractional_positions": [[0.5000, 0.0000, 0.0000], [0.8330, 0.6661, 0.6660], [0.1670, 0.3339, 0.3340], [0.5000, 0.5000, 0.0000], [0.8323, 0.1667, 0.6645], [0.1677, 0.8333, 0.3355], [0.3315, 0.9269, 0.6631], [0.6629, 0.5924, 0.3258], [0.6685, 0.0731, 0.3369], [0.9961, 0.2551, 0.9922], [0.0039, 0.7449, 0.0078], [0.3371, 0.4076, 0.6742]]}

Entry 6:
{"formula": "Ti2SbTeRh", "functional": "GGA-PBE", "state": "optimized geometry", "dos_at_fermi_per_ev_cell": 5.1, "e_tot_ev_per_atom": -5.58, "spacegroup": "P4/mmm (123)", "vol_a3_per_atom": 24.2, "cell": [[-1.9658, -4.4648, 1.1383], [1.7290, 0.3808, 4.4795], [-4.2422, 2.2368, 1.4473]], "species": ["Sb", "Te", "Rh", "Ti", "Ti"], "fractional_positions": [[0.5000, 0.5000, 0.5000], [0.0000, 0.0000, 0.0000], [0.0000, 0.5000, 0.0000], [0.0000, 0.0000, 0.5000], [0.5000, 0.0000, 0.0000]]}

Entry 7:
{"formula": "Al5CrFe4", "functional": "GGA-PBE", "state": "optimized geometry", "dos_at_fermi_per_ev_cell": 10.8, "formation_energy_kj_per_mol_fu": -110, "spacegroup": "C2/m (12)", "vol_a3_per_atom": 13.8, "cell": [[3.8212, 0.0000, -1.2129], [0.0040, 5.6987, 0.0124], [-0.0799, 0.1613, 6.3739]], "species": ["Al", "Al", "Al", "Al", "Al", "Cr", "Fe", "Fe", "Fe", "Fe"], "fractional_positions": [[0.1716, 0.0205, 0.3432], [0.1720, 0.4860, 0.3439], [0.8280, 0.5140, 0.6561], [0.5000, 0.5000, 0.0000], [0.8284, 0.9795, 0.6568], [0.5000, 0.0000, 0.0000], [0.6544, 0.7591, 0.3089], [0.9864, 0.2436, 0.9728], [0.3456, 0.2409, 0.6911], [0.0136, 0.7564, 0.0272]]}

Entry 8:
{"formula": "PrSm3Tm6", "functional": "GGA-PBE", "state": "optimized geometry", "dos_at_fermi_per_ev_cell": 28.2, "formation_energy_kj_per_mol_fu": 145, "spacegroup": "Cmc2_1 (36)", "vol_a3_per_atom": 32.3, "cell": [[6.1897, 0.0000, 0.0000], [0.0000, 10.8299, -1.5754], [0.0000, -3.9524, 10.2053]], "species": ["Pr", "Pr", "Sm", "Sm", "Sm", "Sm", "Sm", "Sm", "Tm", "Tm", "Tm", "Tm", "Tm", "Tm", "Tm", "Tm", "Tm", "Tm", "Tm", "Tm"], "fractional_positions": [[0.1577, 0.2082, 0.7918], [0.6577, 0.7918, 0.2082], [0.4610, 0.9330, 0.7164], [0.9610, 0.7164, 0.9330], [0.0671, 0.3929, 0.6071], [0.5671, 0.6071, 0.3929], [0.9610, 0.0670, 0.2836], [0.4610, 0.2836, 0.0670], [0.0263, 0.7145, 0.6166], [0.5263, 0.6166, 0.7145], [0.3663, 0.5428, 0.9669], [0.8663, 0.9669, 0.5428], [0.4150, 0.9530, 0.0470], [0.6385, 0.2874, 0.7126], [0.1385, 0.7126, 0.2874], [0.9150, 0.0470, 0.9530], [0.3663, 0.0331, 0.4572], [0.8663, 0.4572, 0.0331], [0.0263, 0.3834, 0.2855], [0.5263, 0.2855, 0.3834]]}

Entry 9:
{"formula": "GePI2O", "functional": "GGA-PBE", "state": "optimized geometry", "dos_at_fermi_per_ev_cell": 2.9, "e_tot_ev_per_atom": -3.33, "spacegroup": "P4/mmm (123)", "vol_a3_per_atom": 24.2, "cell": [[-1.1208, -0.7496, -5.5636], [5.3900, -1.7297, -0.8528], [-1.0123, -3.4867, 0.6737]], "species": ["I", "I", "P", "Ge", "O"], "fractional_positions": [[0.0000, 0.5000, 0.0000], [0.5000, 0.0000, 0.0000], [0.5000, 0.5000, 0.5000], [0.0000, 0.0000, 0.0000], [0.0000, 0.0000, 0.5000]]}

Entry 10:
{"formula": "Ag2PbSeS", "functional": "GGA-PBE", "state": "optimized geometry", "e_tot_ev_per_atom": -3.63, "spacegroup": "I4cm (108)", "vol_a3_per_atom": 25.1, "cell": [[6.1872, 0.0000, 0.0000], [0.0000, 6.1872, 0.0000], [-3.0936, -3.0936, 6.5698]], "species": ["Ag", "Ag", "Ag", "Ag", "Pb", "Pb", "Se", "Se", "S", "S"], "fractional_positions": [[0.2892, 0.7892, 0.9188], [0.7892, 0.6296, 0.9188], [0.6296, 0.1296, 0.9188], [0.1296, 0.2892, 0.9188], [0.7523, 0.7523, 0.5047], [0.2523, 0.2523, 0.5047], [0.7852, 0.2852, 0.5705], [0.2852, 0.7852, 0.5705], [0.0438, 0.0438, 0.0877], [0.5438, 0.5438, 0.0877]]}

Entry 11:
{"formula": "Si3Ni", "functional": "GGA-PBE", "state": "optimized geometry", "dos_at_fermi_per_ev_cell": 4.1, "e_tot_ev_per_atom": -5.56, "spacegroup": "Pnma (62)", "vol_a3_per_atom": 13.6, "cell": [[-2.8037, -3.2741, 3.7336], [4.3517, -3.3688, 0.3137], [2.5397, 3.7659, 5.2096]], "species": ["Ni", "Ni", "Ni", "Ni", "Si", "Si", "Si", "Si", "Si", "Si", "Si", "Si", "Si", "Si", "Si", "Si"], "fractional_positions": [[0.5105, 0.8296, 0.7500], [0.0105, 0.6704, 0.2500], [0.9895, 0.3296, 0.7500], [0.4895, 0.1704, 0.2500], [0.1099, 0.9356, 0.7500], [0.6099, 0.5644, 0.2500], [0.3901, 0.4356, 0.7500], [0.8901, 0.0644, 0.2500], [0.6661, 0.1704, 0.9365], [0.1661, 0.3296, 0.0635], [0.8339, 0.6704, 0.5635], [0.3339, 0.8296, 0.4365], [0.3339, 0.8296, 0.0635], [0.8339, 0.6704, 0.9365], [0.1661, 0.3296, 0.4365], [0.6661, 0.1704, 0.5635]]}

Entry 12:
{"formula": "Sc3TaCd", "functional": "GGA-PBE", "state": "optimized geometry", "dos_at_fermi_per_ev_cell": 10.5, "formation_energy_kj_per_mol_fu": 551, "spacegroup": "Pm-3m (221)", "vol_a3_per_atom": 27.0, "cell": [[5.1298, 0.0000, 0.0000], [0.0000, 5.1298, 0.0000], [0.0000, 0.0000, 5.1298]], "species": ["Sc", "Sc", "Sc", "Cd", "Ta"], "fractional_positions": [[0.0000, 0.5000, 0.0000], [0.0000, 0.0000, 0.5000], [0.5000, 0.0000, 0.0000], [0.0000, 0.0000, 0.0000], [0.5000, 0.5000, 0.5000]]}

Entry 13:
{"formula": "Ti2Ni4Au", "functional": "GGA-PBE", "state": "optimized geometry", "dos_at_fermi_per_ev_cell": 6.1, "formation_energy_kj_per_mol_fu": -171, "spacegroup": "I4/mmm (139)", "vol_a3_per_atom": 13.8, "cell": [[3.3982, 0.0000, 0.0000], [0.0000, 3.3982, 0.0000], [-1.6991, -1.6991, 8.3602]], "species": ["Ti", "Ti", "Ni", "Ni", "Ni", "Ni", "Au"], "fractional_positions": [[0.6079, 0.6079, 0.2157], [0.3921, 0.3921, 0.7843], [0.1499, 0.1499, 0.2997], [0.8501, 0.8501, 0.7003], [0.7500, 0.2500, 0.5000], [0.2500, 0.7500, 0.5000], [0.0000, 0.0000, 0.0000]]}

Entry 14:
{"formula": "La2DySc", "functional": "GGA-PBE", "state": "optimized geometry", "dos_at_fermi_per_ev_cell": 6.1, "formation_energy_kj_per_mol_fu": 16, "spacegroup": "P4/mmm (123)", "vol_a3_per_atom": 32.3, "cell": [[-1.1094, -0.7992, -3.4441], [1.5210, -3.3664, 0.2913], [-8.1136, -3.3720, 3.3961]], "species": ["Sc", "La", "La", "Dy"], "fractional_positions": [[0.5000, 0.5000, 0.0000], [0.0000, 0.0000, 0.7619], [0.0000, 0.0000, 0.2381], [0.5000, 0.5000, 0.5000]]}

Entry 15:
{"formula": "BeGeW3", "functional": "GGA-PBE", "state": "optimized geometry", "dos_at_fermi_per_ev_cell": 3.7, "formation_energy_kj_per_mol_fu": 468, "spacegroup": "Pm-3m (221)", "vol_a3_per_atom": 15.3, "cell": [[-1.6427, -2.8515, 2.6781], [-1.8675, -1.9807, -3.2544], [3.4374, -2.4388, -0.4882]], "species": ["Be", "Ge", "W", "W", "W"], "fractional_positions": [[0.0000, 0.0000, 0.0000], [0.5000, 0.5000, 0.5000], [0.0000, 0.5000, 0.0000], [0.0000, 0.0000, 0.5000], [0.5000, 0.0000, 0.0000]]}

Entry 16:
{"formula": "Y3PbO", "functional": "GGA-PBE", "state": "optimized geometry", "dos_at_fermi_per_ev_cell": 6.9, "e_tot_ev_per_atom": -6.99, "spacegroup": "P-1 (2)", "vol_a3_per_atom": 26.9, "cell": [[-1.4771, -4.2430, 5.4727], [1.4547, -5.2100, -3.5521], [5.8378, -2.5755, 1.5541]], "species": ["Y", "Y", "Y", "Y", "Y", "Y", "Pb", "Pb", "O", "O"], "fractional_positions": [[0.1216, 0.6839, 0.0741], [0.0085, 0.2131, 0.6403], [0.4531, 0.6495, 0.5587], [0.8277, 0.1236, 0.2237], [0.3400, 0.1787, 0.1248], [0.6339, 0.7390, 0.9752], [0.4714, 0.1471, 0.6067], [0.9902, 0.7155, 0.5923], [0.0586, 0.3131, 0.2688], [0.4030, 0.5495, 0.9302]]}

Entry 17:
{"formula": "NbHRh3", "functional": "GGA-PBE", "state": "optimized geometry", "dos_at_fermi_per_ev_cell": 8.0, "e_tot_ev_per_atom": -7.48, "spacegroup": "P3m1 (156)", "vol_a3_per_atom": 12.5, "cell": [[-2.6254, 4.6261, 1.9273], [0.2320, -4.6603, 3.1991], [3.8644, 1.4377, 1.8138]], "species": ["H", "H", "Nb", "Nb", "Rh", "Rh", "Rh", "Rh", "Rh", "Rh"], "fractional_positions": [[0.5307, 0.0577, 0.6020], [0.1973, 0.3912, 0.9685], [0.1974, 0.3911, 0.4199], [0.8641, 0.7244, 0.9027], [0.6997, 0.8889, 0.4041], [0.3709, 0.7382, 0.9066], [0.1928, 0.8889, 0.4041], [0.6996, 0.3956, 0.4041], [0.8504, 0.2176, 0.9066], [0.3709, 0.2177, 0.9066]]}

Entry 18:
{"formula": "CdCu3Cl", "functional": "GGA-PBE", "state": "optimized geometry", "dos_at_fermi_per_ev_cell": 1.3, "e_tot_ev_per_atom": -2.37, "spacegroup": "Pm-3m (221)", "vol_a3_per_atom": 18.8, "cell": [[-1.5036, 3.0876, -2.9847], [-3.4043, -2.7846, -1.1657], [-2.6177, 1.8480, 3.2303]], "species": ["Cl", "Cu", "Cu", "Cu", "Cd"], "fractional_positions": [[0.0000, 0.0000, 0.0000], [0.0000, 0.5000, 0.0000], [0.0000, 0.0000, 0.5000], [0.5000, 0.0000, 0.0000], [0.5000, 0.5000, 0.5000]]}

Entry 19:
{"formula": "CoRh2", "functional": "GGA-PBE", "state": "optimized geometry", "dos_at_fermi_per_ev_cell": 8.8, "formation_energy_kj_per_mol_fu": 18, "spacegroup": "P2/m (10)", "vol_a3_per_atom": 13.3, "cell": [[-0.3247, 1.7511, -2.0090], [1.7635, -4.5652, -4.2644], [-4.3990, -1.2427, -0.3722]], "species": ["Co", "Co", "Rh", "Rh", "Rh", "Rh"], "fractional_positions": [[0.0000, 0.9970, 0.0019], [0.0000, 0.6696, 0.3315], [0.5000, 0.3333, 0.1667], [0.5000, 0.9926, 0.4926], [0.0000, 0.3333, 0.6667], [0.5000, 0.6740, 0.8407]]}

Entry 20:
{"formula": "SmTh2B6", "functional": "GGA-PBE", "state": "optimized geometry", "dos_at_fermi_per_ev_cell": 2.6, "formation_energy_kj_per_mol_fu": -377, "spacegroup": "P6/mmm (191)", "vol_a3_per_atom": 13.3, "cell": [[4.1563, 0.0000, 0.0000], [0.0000, 4.9971, -2.8850], [0.0000, 0.0000, 5.7701]], "species": ["Sm", "Th", "Th", "B", "B", "B", "B", "B", "B"], "fractional_positions": [[0.0000, 0.0000, 0.0000], [0.0000, 0.3333, 0.6667], [0.0000, 0.6667, 0.3333], [0.5000, 0.3294, 0.3294], [0.5000, 0.6706, 0.6706], [0.5000, 0.0000, 0.6706], [0.5000, 0.6706, 0.0000], [0.5000, 0.3294, 0.0000], [0.5000, 0.0000, 0.3294]]}